CeInGa after structural relaxation. Source: Alexandria via LeMat-Bulk, functional PBE.

Cell: 8.279 8.279 5.869 Å, 90.00 90.00 158.33°
Atoms (fractional coordinates):
Ce (0.145, 0.855, 0.750)
Ce (0.855, 0.145, 0.250)
In (0.343, 0.657, 0.750)
In (0.657, 0.343, 0.250)
Ga (0.500, 0.500, 0.000)
Ga (0.500, 0.500, 0.500)

E (eV per cell): -25.051
Offset from the most stable computed form (eV/atom): 0.1429
Energy relative to the elements (eV per atom): -0.275
M_tot (μB per cell): 2.0
DOS at the Fermi energy (states/eV per atom): 1.737